1.
This record from the Alexandria database describes an optimized crystal structure of TbErTh6. The functional is PBE.

abc: 5.0449 5.0449 10.0913
angles: 90.00 90.00 90.00
With the nearest neighbours (Å) after each atom.
Positions (direct):
Tb 0.0000 0.0000 0.0000  12 Th 3.57-3.58
Er 0.0000 0.0000 0.5000  12 Th 3.56-3.57
Th 0.0000 0.5000 0.2511  8 Th 3.56-3.58, 2 Er 3.56, 2 Tb 3.58
Th 0.0000 0.5000 0.7489  8 Th 3.56-3.58, 2 Er 3.56, 2 Tb 3.58
Th 0.5000 0.0000 0.2511  8 Th 3.56-3.58, 2 Er 3.56, 2 Tb 3.58
Th 0.5000 0.0000 0.7489  8 Th 3.56-3.58, 2 Er 3.56, 2 Tb 3.58
Th 0.5000 0.5000 0.0000  4 Tb 3.57, 8 Th 3.58
Th 0.5000 0.5000 0.5000  8 Th 3.56, 4 Er 3.57

mass density: 11.11 g cm⁻³
energy relative to the lowest polymorph listed for this composition: 0.0 meV/atom
symmetry: P4/mmm

---

2.
This record from the Alexandria database describes an optimized crystal structure of Tb4Er3Th. The functional is PBE.

abc: 23.2668 3.4435 6.7077
angles: 90.00 106.70 90.00
With the nearest neighbours (Å) after each atom.
Positions (direct):
Tb 0.1233 0.0000 0.3649  3 Er 3.23-3.48, 5 Tb 3.44-3.54
Tb 0.2410 0.5000 0.2385  9 Tb 3.44-3.82, 3 Er 3.47-3.51
Tb 0.2590 0.0000 0.7615  9 Tb 3.44-3.82, 3 Er 3.47-3.51
Tb 0.3767 0.5000 0.6351  3 Er 3.23-3.48, 5 Tb 3.44-3.54
Tb 0.6233 0.5000 0.3649  3 Er 3.23-3.48, 5 Tb 3.44-3.54
Tb 0.7410 0.0000 0.2385  9 Tb 3.44-3.82, 3 Er 3.47-3.51
Tb 0.7590 0.5000 0.7615  9 Tb 3.44-3.82, 3 Er 3.47-3.51
Tb 0.8767 0.0000 0.6351  3 Er 3.23-3.48, 5 Tb 3.44-3.54
Er 0.0000 0.0000 0.5000  2 Tb 3.25, 4 Er 3.26-3.44
Er 0.1237 0.0000 0.8841  5 Tb 3.23-3.51, 3 Er 3.26-3.44
Er 0.3763 0.5000 0.1159  5 Tb 3.23-3.51, 3 Er 3.26-3.44
Er 0.5000 0.5000 0.5000  2 Tb 3.25, 4 Er 3.26-3.44
Er 0.6237 0.5000 0.8841  5 Tb 3.23-3.51, 3 Er 3.26-3.44
Er 0.8763 0.0000 0.1159  5 Tb 3.23-3.51, 3 Er 3.26-3.44
Th 0.0000 0.5000 0.0000  2 Th 3.44, 8 Er 3.62-3.77, 4 Tb 3.63
Th 0.5000 0.0000 0.0000  2 Th 3.44, 8 Er 3.62-3.77, 4 Tb 3.63

mass density: 8.84 g cm⁻³
energy relative to the lowest polymorph listed for this composition: 151.6 meV/atom
symmetry: C2/m

---

3.
This record from the Alexandria database describes an optimized crystal structure of Tb12Er6Th. The functional is PBE.

abc: 8.7033 8.7033 8.7033
angles: 100.06 100.06 100.06
With the nearest neighbours (Å) after each atom.
Positions (direct):
Tb 0.0000 0.2562 0.7438  4 Er 3.34-3.62, 6 Tb 3.34-3.54
Tb 0.0000 0.7438 0.2562  4 Er 3.34-3.62, 6 Tb 3.34-3.54
Tb 0.1541 0.1541 0.4243  6 Tb 3.34-3.61, 1 Th 3.74
Tb 0.1541 0.4243 0.1541  6 Tb 3.34-3.61, 1 Th 3.74
Tb 0.2562 0.0000 0.7438  4 Er 3.34-3.62, 6 Tb 3.34-3.54
Tb 0.2562 0.7438 0.0000  4 Er 3.34-3.62, 6 Tb 3.34-3.54
Tb 0.4243 0.1541 0.1541  6 Tb 3.34-3.61, 1 Th 3.74
Tb 0.5757 0.8459 0.8459  6 Tb 3.34-3.61, 1 Th 3.74
Tb 0.7438 0.0000 0.2562  4 Er 3.34-3.62, 6 Tb 3.34-3.54
Tb 0.7438 0.2562 0.0000  4 Er 3.34-3.62, 6 Tb 3.34-3.54
Tb 0.8459 0.5757 0.8459  6 Tb 3.34-3.61, 1 Th 3.74
Tb 0.8459 0.8459 0.5757  6 Tb 3.34-3.61, 1 Th 3.74
Er 0.1669 0.6052 0.6052  3 Er 3.20-3.52, 2 Tb 3.34, 1 Th 3.41
Er 0.3948 0.3948 0.8331  3 Er 3.20-3.52, 2 Tb 3.34, 1 Th 3.41
Er 0.3948 0.8331 0.3948  3 Er 3.20-3.52, 2 Tb 3.34, 1 Th 3.41
Er 0.6052 0.1669 0.6052  3 Er 3.20-3.52, 2 Tb 3.34, 1 Th 3.41
Er 0.6052 0.6052 0.1669  3 Er 3.20-3.52, 2 Tb 3.34, 1 Th 3.41
Er 0.8331 0.3948 0.3948  3 Er 3.20-3.52, 2 Tb 3.34, 1 Th 3.41
Th 0.5000 0.5000 0.5000  6 Er 3.41, 6 Tb 3.74

mass density: 8.35 g cm⁻³
energy relative to the lowest polymorph listed for this composition: 73.6 meV/atom
symmetry: R-3m

---

4.
This record from the Alexandria database describes an optimized crystal structure of TbEr7Th3. The functional is PBE.

abc: 6.8823 5.4779 10.0545
angles: 90.00 109.92 90.00
With the nearest neighbours (Å) after each atom.
Positions (direct):
Tb 0.0000 0.0000 0.0000  2 Th 3.44, 10 Er 3.48-3.81
Er 0.0862 0.0000 0.6704  3 Er 3.22-3.28, 5 Th 3.52-3.56, 1 Tb 3.56
Er 0.1761 0.5000 0.8610  5 Er 3.27-3.52, 2 Tb 3.48, 2 Th 3.51
Er 0.3607 0.5000 0.2073  3 Er 3.27-3.52, 2 Th 3.34-3.39
Er 0.5000 0.0000 0.5000  4 Th 3.34
Er 0.6393 0.5000 0.7927  3 Er 3.27-3.52, 2 Th 3.34-3.39
Er 0.8239 0.5000 0.1390  5 Er 3.27-3.52, 2 Tb 3.48, 2 Th 3.51
Er 0.9138 0.0000 0.3296  3 Er 3.22-3.28, 5 Th 3.52-3.56, 1 Tb 3.56
Th 0.2222 0.5000 0.5004  1 Th 3.06, 4 Er 3.34-3.39
Th 0.5000 0.0000 0.0000  2 Tb 3.44, 10 Er 3.51-3.76
Th 0.7778 0.5000 0.4996  1 Th 3.06, 4 Er 3.34-3.39

mass density: 9.44 g cm⁻³
symmetry: P2/m
uncorrected energy: -5.193 eV/atom

---

5.
This record from the Alexandria database describes an optimized crystal structure of Tb6Er3Th2. The functional is PBE.

abc: 5.9610 12.4495 10.0518
angles: 90.00 90.00 90.00
With the nearest neighbours (Å) after each atom.
Positions (direct):
Tb 0.1801 0.2028 0.0000  1 Th 3.09, 3 Er 3.16-3.28, 4 Tb 3.38-3.41
Tb 0.2065 0.2249 0.3380  5 Tb 3.26-3.52, 1 Er 3.45
Tb 0.2065 0.2249 0.6620  5 Tb 3.26-3.52, 1 Er 3.45
Tb 0.2935 0.7249 0.1620  5 Tb 3.26-3.52, 1 Er 3.45
Tb 0.2935 0.7249 0.8380  5 Tb 3.26-3.52, 1 Er 3.45
Tb 0.3199 0.7028 0.5000  1 Th 3.09, 3 Er 3.16-3.28, 4 Tb 3.38-3.41
Tb 0.6801 0.2972 0.5000  1 Th 3.09, 3 Er 3.16-3.28, 4 Tb 3.38-3.41
Tb 0.7065 0.2751 0.1620  5 Tb 3.26-3.52, 1 Er 3.45
Tb 0.7065 0.2751 0.8380  5 Tb 3.26-3.52, 1 Er 3.45
Tb 0.7935 0.7751 0.3380  5 Tb 3.26-3.52, 1 Er 3.45
Tb 0.7935 0.7751 0.6620  5 Tb 3.26-3.52, 1 Er 3.45
Tb 0.8199 0.7972 0.0000  1 Th 3.09, 3 Er 3.16-3.28, 4 Tb 3.38-3.41
Er 0.0000 0.0000 0.1794  4 Tb 3.28-3.45, 3 Er 3.48-3.61, 2 Th 3.59
Er 0.0000 0.0000 0.8206  4 Tb 3.28-3.45, 3 Er 3.48-3.61, 2 Th 3.59
Er 0.0000 0.5000 0.5000  2 Tb 3.16, 4 Er 3.48
Er 0.5000 0.0000 0.0000  2 Tb 3.16, 4 Er 3.48
Er 0.5000 0.5000 0.3206  4 Tb 3.28-3.45, 3 Er 3.48-3.61, 2 Th 3.59
Er 0.5000 0.5000 0.6794  4 Tb 3.28-3.45, 3 Er 3.48-3.61, 2 Th 3.59
Th 0.2423 0.9482 0.5000  1 Tb 3.09, 2 Th 3.16-3.33
Th 0.2577 0.4482 0.0000  1 Tb 3.09, 2 Th 3.16-3.33
Th 0.7423 0.5518 0.0000  1 Tb 3.09, 2 Th 3.16-3.33
Th 0.7577 0.0518 0.5000  1 Tb 3.09, 2 Th 3.16-3.33

mass density: 8.55 g cm⁻³
symmetry: Pnnm
uncorrected energy: -4.786 eV/atom

---

6.
This record from the Alexandria database describes an optimized crystal structure of Tb2Er4Th3. The functional is PBE.

abc: 3.5469 3.5469 26.3313
angles: 90.00 90.00 120.00
With the nearest neighbours (Å) after each atom.
Positions (direct):
Tb 0.0000 0.0000 0.0000  3 Er 3.51, 6 Tb 3.55, 3 Th 3.60
Tb 0.0000 0.0000 0.2203  1 Er 3.32, 3 Th 3.50, 6 Tb 3.55
Er 0.0000 0.0000 0.3463  1 Tb 3.32, 3 Th 3.48, 6 Er 3.55
Er 0.0000 0.0000 0.5651  9 Er 3.47-3.55, 3 Th 3.59
Er 0.3333 0.6667 0.6716  9 Er 3.47-3.55, 3 Th 3.55
Er 0.3333 0.6667 0.8917  3 Tb 3.51, 3 Th 3.54, 6 Er 3.55
Th 0.0000 0.0000 0.7819  6 Er 3.54-3.55, 6 Th 3.55
Th 0.3333 0.6667 0.1125  6 Tb 3.50-3.60, 6 Th 3.55
Th 0.3333 0.6667 0.4532  6 Er 3.48-3.59, 6 Th 3.55

mass density: 9.74 g cm⁻³
symmetry: P3m1
uncorrected energy: -5.451 eV/atom

---

7.
This record from the Alexandria database describes an optimized crystal structure of TbEr4Th5. The functional is PBE.

abc: 8.9417 8.9417 11.1040
angles: 106.82 106.82 22.20
With the nearest neighbours (Å) after each atom.
Positions (direct):
Tb 0.0000 0.0000 0.0000  6 Er 3.30-3.49, 2 Tb 3.44
Er 0.1967 0.1967 0.0874  1 Tb 3.30, 7 Er 3.44-3.53, 3 Th 3.47-3.56
Er 0.4059 0.4059 0.1901  4 Th 3.40-3.77, 5 Er 3.44-3.53, 2 Tb 3.49
Er 0.5941 0.5941 0.8099  4 Th 3.40-3.77, 5 Er 3.44-3.53, 2 Tb 3.49
Er 0.8033 0.8033 0.9126  1 Tb 3.30, 7 Er 3.44-3.53, 3 Th 3.47-3.56
Th 0.0000 0.0000 0.5000  10 Th 3.44-3.80, 4 Er 3.77
Th 0.3026 0.3026 0.4049  3 Th 3.23-3.44, 2 Er 3.40-3.47
Th 0.3905 0.3905 0.7051  3 Th 3.23-3.44, 3 Er 3.42-3.56
Th 0.6095 0.6095 0.2949  3 Th 3.23-3.44, 3 Er 3.42-3.56
Th 0.6974 0.6974 0.5951  3 Th 3.23-3.44, 2 Er 3.40-3.47

mass density: 10.30 g cm⁻³
symmetry: C2/m
uncorrected energy: -5.866 eV/atom

---

8.
This record from the Alexandria database describes an optimized crystal structure of Tb3ErTh. The functional is PBE.

abc: 6.2360 6.7528 9.2089
angles: 108.42 90.07 117.44
With the nearest neighbours (Å) after each atom.
Positions (direct):
Tb 0.0725 0.2995 0.0433  6 Tb 3.52-3.72, 2 Th 3.53-3.55, 4 Er 3.54-3.62
Tb 0.2619 0.7049 0.4465  6 Tb 3.50-3.64, 4 Th 3.51-3.73, 2 Er 3.53-3.61
Tb 0.3383 0.4992 0.7431  3 Th 3.51-3.58, 3 Er 3.52-3.67, 6 Tb 3.54-3.72
Tb 0.6617 0.5008 0.2569  3 Th 3.51-3.58, 3 Er 3.52-3.67, 6 Tb 3.54-3.72
Tb 0.7381 0.2951 0.5535  6 Tb 3.50-3.64, 4 Th 3.51-3.73, 2 Er 3.53-3.61
Tb 0.9275 0.7005 0.9567  6 Tb 3.52-3.72, 2 Th 3.53-3.55, 4 Er 3.54-3.62
Er 0.4625 0.0946 0.8497  1 Er 3.51, 2 Th 3.51-3.66, 9 Tb 3.52-3.67
Er 0.5375 0.9054 0.1503  1 Er 3.51, 2 Th 3.51-3.66, 9 Tb 3.52-3.67
Th 0.1199 0.0970 0.3472  2 Er 3.51-3.66, 9 Tb 3.51-3.73, 1 Th 3.52
Th 0.8801 0.9030 0.6528  2 Er 3.51-3.66, 9 Tb 3.51-3.73, 1 Th 3.52

mass density: 9.05 g cm⁻³
energy relative to the lowest polymorph listed for this composition: 0.0 meV/atom
symmetry: P-1

---

> Among the records above, which one has the highest mass density?

TbErTh6

---

> Look up the mass density of the fourth one.

9.44 g cm⁻³